Record 1
# KPaCoTe4

Crystalline KPaCoTe4 at its relaxed geometry (GGA-PBE, Alexandria via LeMat-Bulk).

Its formation energy from raw total energies is -626 meV per atom.

The structure in CIF format:
```
data_KPaCoTe4
_chemical_formula_sum 'K2 Pa2 Co2 Te8'
_symmetry_space_group_name_H-M 'P 1 21/m 1'
_symmetry_Int_Tables_number 11
_cell_length_a 7.337
_cell_length_b 6.349
_cell_length_c 9.927
_cell_angle_alpha 90.00
_cell_angle_beta 106.93
_cell_angle_gamma 90.00
loop_
_symmetry_equiv_pos_as_xyz
'x,y,z'
'-x,-y,-z'
'-x,y+1/2,-z'
'x,-y+1/2,z'
loop_
_atom_site_label
_atom_site_type_symbol
_atom_site_fract_x
_atom_site_fract_y
_atom_site_fract_z
K1 K 0.232 0.250 0.048
Pa1 Pa 0.275 0.250 0.556
Co1 Co 0.273 0.750 0.348
Te1 Te 0.009 0.502 0.703
Te2 Te 0.431 0.750 0.606
Te3 Te 0.439 0.750 0.158
```


Record 2
# KCo3Pb

Crystalline KCo3Pb at its relaxed geometry (GGA-PBE, Alexandria via LeMat-Bulk).

For the energy above the lowest structure with this stoichiometry, the calculation gives 846 meV/atom. The energy relative to the elements comes out at 2.168 eV/atom.

The structure in CIF format:
```
data_KCo3Pb
_chemical_formula_sum 'K1 Co3 Pb1'
_symmetry_space_group_name_H-M 'P m -3 m'
_symmetry_Int_Tables_number 221
_symmetry_space_group_name_Hall '-P 4 2 3'
_cell_length_a 4.641
_cell_length_b 4.641
_cell_length_c 4.641
_cell_angle_alpha 90.00
_cell_angle_beta 90.00
_cell_angle_gamma 90.00
loop_
_atom_site_label
_atom_site_type_symbol
_atom_site_fract_x
_atom_site_fract_y
_atom_site_fract_z
K1 K 0.000 0.000 0.000
Co1 Co 0.000 0.000 0.500
Pb1 Pb 0.500 0.500 0.500
```


Record 3
# KCoPb2

Crystalline KCoPb2 at its relaxed geometry (GGA-PBE, Alexandria via LeMat-Bulk).

The energy relative to the elements comes out at 0.239 eV/atom.

The structure in CIF format:
```
data_KCoPb2
_chemical_formula_sum 'K2 Co2 Pb4'
_symmetry_space_group_name_H-M 'I m m 2'
_symmetry_Int_Tables_number 44
_cell_length_a 3.346
_cell_length_b 4.154
_cell_length_c 16.384
_cell_angle_alpha 90.00
_cell_angle_beta 90.00
_cell_angle_gamma 90.00
loop_
_symmetry_equiv_pos_as_xyz
'x,y,z'
'-x,-y,z'
'-x,y,z'
'x,-y,z'
'x+1/2,y+1/2,z+1/2'
'-x+1/2,-y+1/2,z+1/2'
'-x+1/2,y+1/2,z+1/2'
'x+1/2,-y+1/2,z+1/2'
loop_
_atom_site_label
_atom_site_type_symbol
_atom_site_fract_x
_atom_site_fract_y
_atom_site_fract_z
K1 K 0.000 0.000 0.000
Co1 Co 0.000 0.500 0.287
Pb1 Pb 0.000 0.000 0.658
Pb2 Pb 0.000 0.500 0.821
```


Number 1: magnetization 1.8 μB/f.u., D(E_F) 0.722 states/eV per atom. Number 2: magnetization 4.1 μB/f.u., D(E_F) 3.268 states/eV per atom. Number 3: magnetization 0.7 μB/f.u., D(E_F) 0.856 states/eV per atom.